# NiSnN2, optimized geometry, DFT PBE
# raw formation energy = 433 meV per atom
# raw total energy = -6.176 eV per atom
# volume = 209.78 Å³ per cell
data_NiSnN2
_space_group_name_H-M_alt 'I -4 2 d'
_space_group_IT_number 122
_space_group_name_Hall 'I -4 2bw'
_cell_length_a 4.6779
_cell_length_b 4.6779
_cell_length_c 9.5866
_cell_angle_alpha 90.00
_cell_angle_beta 90.00
_cell_angle_gamma 90.00
loop_
_atom_site_label
_atom_site_fract_x
_atom_site_fract_y
_atom_site_fract_z
_atom_site_occupancy
Ni1 0.0000 0.0000 0.0000 1
Sn1 0.0000 0.0000 0.5000 1
N1 0.2143 0.2500 0.1250 1



# Sr2Ni2Sn2N, optimized geometry, DFT PBE
# raw formation energy = -514 meV per atom
# raw total energy = -4.979 eV per atom
# volume = 306.56 Å³ per cell
data_Sr2Ni2Sn2N
_space_group_name_H-M_alt 'C 1 2/m 1'
_space_group_IT_number 12
_cell_length_a 11.5463
_cell_length_b 4.1833
_cell_length_c 7.6358
_cell_angle_alpha 90.00
_cell_angle_beta 123.78
_cell_angle_gamma 90.00
loop_
_space_group_symop_operation_xyz
'x,y,z'
'-x,-y,-z'
'-x,y,-z'
'x,-y,z'
'x+1/2,y+1/2,z'
'-x+1/2,-y+1/2,-z'
'-x+1/2,y+1/2,-z'
'x+1/2,-y+1/2,z'
loop_
_atom_site_label
_atom_site_fract_x
_atom_site_fract_y
_atom_site_fract_z
_atom_site_occupancy
Sr1 0.0614 0.0000 0.3303 1
Ni1 0.1690 0.5000 0.7318 1
Sn1 0.1794 0.5000 0.0881 1
N1 0.0000 0.5000 0.5000 1



# Sr2NiSnN, optimized geometry, DFT PBE
# raw formation energy = -480 meV per atom
# raw total energy = -4.775 eV per atom
# volume = 116.97 Å³ per cell
data_Sr2NiSnN
_space_group_name_H-M_alt 'P 4/m m m'
_space_group_IT_number 123
_space_group_name_Hall '-P 4 2'
_cell_length_a 5.7426
_cell_length_b 5.7426
_cell_length_c 3.5469
_cell_angle_alpha 90.00
_cell_angle_beta 90.00
_cell_angle_gamma 90.00
loop_
_atom_site_label
_atom_site_fract_x
_atom_site_fract_y
_atom_site_fract_z
_atom_site_occupancy
Sr1 0.0000 0.5000 0.0000 1
Ni1 0.0000 0.0000 0.5000 1
Sn1 0.5000 0.5000 0.5000 1
N1 0.0000 0.0000 0.0000 1



# Tc2NiSnN, optimized geometry, DFT PBE
# raw formation energy = 74 meV per atom
# raw total energy = -7.694 eV per atom
# volume = 66.83 Å³ per cell
data_Tc2NiSnN
_space_group_name_H-M_alt 'P 4/m m m'
_space_group_IT_number 123
_space_group_name_Hall '-P 4 2'
_cell_length_a 4.1587
_cell_length_b 4.1587
_cell_length_c 3.8643
_cell_angle_alpha 90.00
_cell_angle_beta 90.00
_cell_angle_gamma 90.00
loop_
_atom_site_label
_atom_site_fract_x
_atom_site_fract_y
_atom_site_fract_z
_atom_site_occupancy
Tc1 0.0000 0.5000 0.0000 1
Ni1 0.0000 0.0000 0.5000 1
Sn1 0.5000 0.5000 0.5000 1
N1 0.0000 0.0000 0.0000 1



- What is the formula in the third record?
  Sr2NiSnN